{"formula": "FePtAu2", "functional": "meta-GGA SCAN", "state": "PBEsol geometry", "lattice": [[-2.6964, -0.1097, -0.7765], [-0.0935, -3.7194, 0.8502], [-1.5804, 1.2574, 5.3266]], "species": ["Au", "Au", "Fe", "Pt"], "frac_coords": [[0.0001, 0.0000, 0.9959], [0.5004, 0.5000, 0.2596], [0.9998, 0.0000, 0.5152], [0.4997, 0.5000, 0.7294]], "total_energy_ev_per_cell": -227.05, "n_ef_per_ev_cell": 1.94, "magnetic_moment_mub_per_atom": 0.926, "space_group": "Pmm2", "formation_energy_ev_per_atom": -0.104}

***

{"formula": "FePtAu2", "functional": "meta-GGA SCAN", "state": "PBEsol geometry", "lattice": [[2.7866, 0.0000, 0.0000], [0.0000, 2.7866, 0.0000], [0.0000, 0.0000, 7.8146]], "species": ["Au", "Au", "Fe", "Pt"], "frac_coords": [[0.0000, 0.0000, 0.9940], [0.5000, 0.5000, 0.2716], [0.0000, 0.0000, 0.5096], [0.5000, 0.5000, 0.7248]], "total_energy_ev_per_cell": -227.19, "n_ef_per_ev_cell": 2.13, "magnetic_moment_mub_per_atom": 0.883, "space_group": "P4mm", "formation_energy_ev_per_atom": -0.139}

***

{"formula": "Fe2PtAu", "functional": "meta-GGA SCAN", "state": "PBEsol geometry", "lattice": [[2.9103, 0.0000, 0.0000], [0.0000, 2.9103, 0.0000], [0.0000, 0.0000, 6.5039]], "species": ["Au", "Fe", "Fe", "Pt"], "frac_coords": [[0.5000, 0.5000, 0.7727], [0.0000, 0.0000, 0.0290], [0.5000, 0.5000, 0.2308], [0.0000, 0.0000, 0.4676]], "total_energy_ev_per_cell": -176.19, "n_ef_per_ev_cell": 2.49, "magnetic_moment_mub_per_atom": 1.566, "de_polymorph_kj_per_mol_fu": 40.5, "space_group": "P4mm", "formation_energy_ev_per_atom": -0.145}

***

{"formula": "Fe2PtAu", "functional": "meta-GGA SCAN", "state": "PBEsol geometry", "lattice": [[2.7138, 0.0000, 0.0000], [0.0000, 3.7857, 0.0000], [0.0000, 0.0000, 5.3944]], "species": ["Au", "Fe", "Fe", "Pt"], "frac_coords": [[0.5000, 0.5000, 0.5000], [0.0000, 0.0000, 0.7650], [0.0000, 0.0000, 0.2350], [0.5000, 0.5000, 0.0000]], "total_energy_ev_per_cell": -176.61, "n_ef_per_ev_cell": 2.14, "magnetic_moment_mub_per_atom": 1.669, "de_polymorph_kj_per_mol_fu": 0.0, "space_group": "Pmmm", "formation_energy_ev_per_atom": -0.250}

***

{"formula": "Fe2PtAu", "functional": "meta-GGA SCAN", "state": "PBEsol geometry", "lattice": [[-2.2618, -1.4679, 0.0751], [0.3896, -0.3795, 4.3179], [-2.5158, 3.9056, 0.5703]], "species": ["Au", "Fe", "Fe", "Pt"], "frac_coords": [[0.5000, 0.5000, 0.1978], [0.0000, 0.0000, 0.0379], [0.0000, 0.5000, 0.7073], [0.5000, 0.0000, 0.5570]], "total_energy_ev_per_cell": -176.42, "n_ef_per_ev_cell": 2.95, "magnetic_moment_mub_per_atom": 1.638, "de_polymorph_kj_per_mol_fu": 18.1, "space_group": "Pmm2", "formation_energy_ev_per_atom": -0.203}

***

{"formula": "Fe2PtAu", "functional": "meta-GGA SCAN", "state": "PBEsol geometry", "lattice": [[2.7239, 0.0000, 0.0000], [0.0000, 4.6337, -0.0003], [0.0000, -1.5085, 4.3812]], "species": ["Au", "Fe", "Fe", "Pt"], "frac_coords": [[0.5000, 0.0000, 0.0000], [0.0000, 0.0000, 0.5000], [0.0000, 0.5000, 0.0000], [0.5000, 0.5000, 0.5000]], "total_energy_ev_per_cell": -176.59, "n_ef_per_ev_cell": 2.00, "magnetic_moment_mub_per_atom": 1.667, "de_polymorph_kj_per_mol_fu": 2.1, "space_group": "Cmmm", "formation_energy_ev_per_atom": -0.245}

***

{"formula": "Fe2PtAu", "functional": "meta-GGA SCAN", "state": "PBEsol geometry", "lattice": [[-0.5758, 3.6169, 1.0645], [0.8013, -0.9348, 3.6098], [3.5618, -0.5744, -2.9542]], "species": ["Au", "Fe", "Fe", "Pt"], "frac_coords": [[0.0000, 0.0000, 0.0000], [0.2500, 0.7500, 0.5000], [0.7500, 0.2500, 0.5000], [0.5000, 0.5000, 0.0000]], "total_energy_ev_per_cell": -176.56, "n_ef_per_ev_cell": 1.77, "magnetic_moment_mub_per_atom": 1.689, "de_polymorph_kj_per_mol_fu": 4.6, "space_group": "I4/mmm", "formation_energy_ev_per_atom": -0.238}

***

{"formula": "Fe6PtAu", "functional": "meta-GGA SCAN", "state": "PBEsol geometry", "lattice": [[6.3874, -0.0028, 0.0000], [-2.1411, 6.0178, 0.0000], [0.0000, 0.0000, 10.4401]], "species": ["Au", "Au", "Au", "Au", "Fe", "Fe", "Fe", "Fe", "Fe", "Fe", "Fe", "Fe", "Fe", "Fe", "Fe", "Fe", "Fe", "Fe", "Fe", "Fe", "Fe", "Fe", "Fe", "Fe", "Fe", "Fe", "Fe", "Fe", "Pt", "Pt", "Pt", "Pt"], "frac_coords": [[0.2515, 0.7485, 0.0000], [0.7485, 0.2515, 0.0000], [0.5000, 0.5000, 0.7494], [0.5000, 0.5000, 0.2506], [0.2493, 0.7507, 0.7484], [0.8768, 0.6273, 0.8738], [0.1232, 0.3727, 0.8738], [0.7507, 0.2493, 0.7484], [0.3727, 0.1232, 0.8738], [0.6273, 0.8768, 0.8738], [0.5000, 0.5000, 0.5000], [0.1218, 0.3723, 0.6239], [0.3723, 0.1218, 0.6239], [0.2493, 0.7507, 0.2516], [0.8782, 0.6277, 0.3761], [0.1218, 0.3723, 0.3761], [0.7507, 0.2493, 0.2516], [0.3723, 0.1218, 0.3761], [0.6277, 0.8782, 0.3761], [0.5000, 0.5000, 0.0000], [0.1232, 0.3727, 0.1262], [0.3727, 0.1232, 0.1262], [0.0000, 0.0000, 0.5000], [0.6277, 0.8782, 0.6239], [0.8782, 0.6277, 0.6239], [0.0000, 0.0000, 0.0000], [0.6273, 0.8768, 0.1262], [0.8768, 0.6273, 0.1262], [0.2524, 0.7476, 0.5000], [0.7476, 0.2524, 0.5000], [0.0000, 0.0000, 0.7500], [0.0000, 0.0000, 0.2500]], "total_energy_ev_per_cell": -997.04, "n_ef_per_ev_cell": 32.72, "magnetic_moment_mub_per_atom": 2.202, "space_group": "Cmmm", "formation_energy_ev_per_atom": -0.142}

***

{"formula": "FeReAu", "functional": "meta-GGA SCAN", "state": "PBEsol geometry", "lattice": [[-1.1113, 0.0404, 2.3972], [1.7966, -1.9374, 0.0377], [4.1483, 5.1522, 0.7936]], "species": ["Au", "Fe", "Re"], "frac_coords": [[0.9941, 0.9941, 0.9881], [0.3277, 0.3277, 0.6553], [0.6783, 0.6783, 0.3565]], "total_energy_ev_per_cell": -157.62, "n_ef_per_ev_cell": 2.13, "magnetic_moment_mub_per_atom": 0.997, "space_group": "Fmm2", "formation_energy_ev_per_atom": 0.253}

***

{"formula": "Fe2ReAu", "functional": "meta-GGA SCAN", "state": "PBEsol geometry", "lattice": [[4.2055, 0.0000, 0.0000], [2.1027, 3.6421, 0.0000], [2.1027, 1.2140, 3.4338]], "species": ["Au", "Fe", "Fe", "Re"], "frac_coords": [[0.0000, 0.0000, 0.0000], [0.2500, 0.2500, 0.2500], [0.7500, 0.7500, 0.7500], [0.5000, 0.5000, 0.5000]], "total_energy_ev_per_cell": -175.37, "n_ef_per_ev_cell": 2.25, "magnetic_moment_mub_per_atom": 1.091, "space_group": "Fm-3m", "formation_energy_ev_per_atom": 0.286}

***

{"formula": "Fe3ReAu", "functional": "meta-GGA SCAN", "state": "PBEsol geometry", "lattice": [[-0.2508, 2.3822, -3.6728], [-3.9453, -1.7172, -0.8443], [-1.8971, 3.2564, 2.2416]], "species": ["Re", "Au", "Fe", "Fe", "Fe"], "frac_coords": [[0.0000, 0.0000, 0.0000], [0.5000, 0.5000, 0.5000], [0.0000, 0.5000, 0.0000], [0.0000, 0.0000, 0.5000], [0.5000, 0.0000, 0.0000]], "total_energy_ev_per_cell": -186.84, "n_ef_per_ev_cell": 3.98, "magnetic_moment_mub_per_atom": 1.168, "space_group": "Pm-3m", "formation_energy_ev_per_atom": 1.560}

***

{"formula": "FeRe2AuS", "functional": "meta-GGA SCAN", "state": "PBEsol geometry", "lattice": [[-1.1666, 4.0097, -1.0515], [-1.3908, -1.4077, -3.8247], [-4.1297, -0.7366, 1.7728]], "species": ["Re", "Re", "S", "Au", "Fe"], "frac_coords": [[0.0000, 0.5000, 0.0000], [0.5000, 0.0000, 0.0000], [0.0000, 0.0000, 0.0000], [0.0000, 0.0000, 0.5000], [0.5000, 0.5000, 0.5000]], "formation_energy_uncorrected_ev_per_atom": 1.3463, "total_energy_ev_per_cell": -232.38, "n_ef_per_ev_cell": 4.75, "magnetic_moment_mub_per_atom": 0.725, "space_group": "P4/mmm"}